# 1
A plane-wave DFT calculation with GGA-PBE was carried out for a geometry-optimized CdCuSb2H structure.

a = 5.049 Å, b = 5.049 Å, c = 5.005 Å
α = 90.00°, β = 90.00°, γ = 90.00°
Space group P4/mmm (No. 123)
Unique sites:
Cd 0.000 0.000 0.000 (multiplicity 1)
Cu 0.000 0.000 0.500 (multiplicity 1)
Sb 0.000 0.500 0.500 (multiplicity 2)
H 0.500 0.500 0.000 (multiplicity 1)

=====

# 2
A plane-wave DFT calculation with GGA-PBE was carried out for a geometry-optimized CdCuSn2H structure.

a = 5.503 Å, b = 5.503 Å, c = 3.233 Å
α = 90.00°, β = 90.00°, γ = 90.00°
Space group P4/mmm (No. 123)
Unique sites:
Cd 0.000 0.000 0.000 (multiplicity 1)
Cu 0.500 0.500 0.500 (multiplicity 1)
Sn 0.000 0.500 0.500 (multiplicity 2)
H 0.500 0.500 0.000 (multiplicity 1)

=====

no.,final energy (eV per atom)
1,-2.549
2,-3.103